An optimized crystal structure of NpMnCu2O6, computed with PBE with a Hubbard U.

Cell and atoms, written as POSCAR:
```
NpMnCu2O6
1.0
2.658 1.534 4.941
-2.658 1.534 4.941
0.000 -3.069 4.941
Np Mn Cu O
1 1 2 6
Direct
0.000 0.000 0.000
0.500 0.500 0.500
0.250 0.250 0.250
0.750 0.750 0.750
0.104 0.386 0.759
0.241 0.896 0.614
0.386 0.759 0.104
0.614 0.241 0.896
0.759 0.104 0.386
0.896 0.614 0.241
```

Computed properties:
The volume comes out at 12.09 Å³/atom. The calculation puts the density of states at the Fermi level at 5.4 states/eV per cell. The value obtained for the total DFT energy (no corrections) is -7.459 eV/atom. As for the space group: R-3.